1.
VASP calculation (PBE) on an optimized crystal structure of SrZn4C.

Lattice parameters (Å, degrees): 8.9375 9.6403 3.4721 90.00 90.00 90.00
With the nearest neighbours (Å) after each atom.
Atoms (fractional coordinates):
Sr 0.0000 0.0000 0.0000  6 Zn 3.19-3.24, 2 Sr 3.47
Sr 0.5000 0.5000 0.0000  6 Zn 3.19-3.24, 2 Sr 3.47
Zn 0.0000 0.2839 0.5000  1 C 2.08
Zn 0.0000 0.7161 0.5000  1 C 2.08
Zn 0.1435 0.5000 0.0000  2 C 2.16
Zn 0.3565 0.0000 0.0000  2 C 2.16
Zn 0.5000 0.2161 0.5000  1 C 2.08
Zn 0.5000 0.7839 0.5000  1 C 2.08
Zn 0.6435 0.0000 0.0000  2 C 2.16
Zn 0.8565 0.5000 0.0000  2 C 2.16
C 0.0000 0.5000 0.5000  6 Zn 2.08-2.16
C 0.5000 0.0000 0.5000  6 Zn 2.08-2.16

## Properties
space-group type	No. 65
total energy	-23.80	eV per cell

2.
VASP calculation (PBE) on an optimized crystal structure of NbCdCuBi.

Lattice parameters (Å, degrees): 6.9681 6.9681 6.9681 90.00 90.00 90.00
With the nearest neighbours (Å) after each atom.
Atoms (fractional coordinates):
Nb 0.0000 0.0000 0.0000  4 Cd 3.02, 4 Cu 3.02
Nb 0.0000 0.5000 0.5000  4 Cd 3.02, 4 Cu 3.02
Nb 0.5000 0.0000 0.5000  4 Cd 3.02, 4 Cu 3.02
Nb 0.5000 0.5000 0.0000  4 Cd 3.02, 4 Cu 3.02
Cd 0.2500 0.2500 0.2500  4 Bi 3.02, 4 Nb 3.02
Cd 0.2500 0.7500 0.7500  4 Bi 3.02, 4 Nb 3.02
Cd 0.7500 0.2500 0.7500  4 Bi 3.02, 4 Nb 3.02
Cd 0.7500 0.7500 0.2500  4 Bi 3.02, 4 Nb 3.02
Cu 0.2500 0.2500 0.7500  4 Nb 3.02, 4 Bi 3.02
Cu 0.2500 0.7500 0.2500  4 Nb 3.02, 4 Bi 3.02
Cu 0.7500 0.2500 0.2500  4 Nb 3.02, 4 Bi 3.02
Cu 0.7500 0.7500 0.7500  4 Nb 3.02, 4 Bi 3.02
Bi 0.0000 0.0000 0.5000  4 Cu 3.02, 4 Cd 3.02
Bi 0.0000 0.5000 0.0000  4 Cu 3.02, 4 Cd 3.02
Bi 0.5000 0.0000 0.0000  4 Cu 3.02, 4 Cd 3.02
Bi 0.5000 0.5000 0.5000  4 Cu 3.02, 4 Cd 3.02

## Properties
space-group type	No. 216
total energy	-64.44	eV per cell
energy above the lowest structure with this stoichiometry	0.125	eV per atom

3.
VASP calculation (PBE) on an optimized crystal structure of CsLiTcSe3.

Lattice parameters (Å, degrees): 8.8986 3.9048 10.2575 90.00 115.42 90.00
With the nearest neighbours (Å) after each atom.
Atoms (fractional coordinates):
Cs 0.2490 0.2500 0.2198  7 Se 3.60-3.92, 2 Cs 3.90
Cs 0.7510 0.7500 0.7802  7 Se 3.60-3.92, 2 Cs 3.90
Li 0.4213 0.2500 0.8922  4 Se 2.48-2.63
Li 0.5787 0.7500 0.1078  4 Se 2.48-2.63
Tc 0.1802 0.7500 0.6509  6 Se 2.55-2.61
Tc 0.8198 0.2500 0.3491  6 Se 2.55-2.61
Se 0.0252 0.7500 0.3729  3 Tc 2.58-2.61
Se 0.2630 0.7500 0.9217  3 Li 2.50-2.63, 1 Tc 2.55
Se 0.3659 0.2500 0.6339  1 Li 2.48, 2 Tc 2.61
Se 0.6341 0.7500 0.3661  1 Li 2.48, 2 Tc 2.61
Se 0.7370 0.2500 0.0783  3 Li 2.50-2.63, 1 Tc 2.55
Se 0.9748 0.2500 0.6271  3 Tc 2.58-2.61

## Properties
space-group type	No. 11
total energy	-55.45	eV per cell

4.
VASP calculation (PBE) on an optimized crystal structure of ScIr2.

Lattice parameters (Å, degrees): 5.2293 5.2293 5.2293 60.00 60.00 60.00
With the nearest neighbours (Å) after each atom.
Atoms (fractional coordinates):
Sc 0.1250 0.1250 0.1250  12 Ir 3.07, 4 Sc 3.20
Sc 0.8750 0.8750 0.8750  12 Ir 3.07, 4 Sc 3.20
Ir 0.0000 0.5000 0.5000  6 Ir 2.61
Ir 0.5000 0.0000 0.5000  6 Ir 2.61
Ir 0.5000 0.5000 0.0000  6 Ir 2.61
Ir 0.5000 0.5000 0.5000  6 Ir 2.61

## Properties
space-group type	No. 227
total energy	-52.57	eV per cell
formation energy	-0.75	eV per atom

5.
VASP calculation (PBE) on an optimized crystal structure of ZrBeCuSb.

Lattice parameters (Å, degrees): 6.4751 6.4751 6.4751 90.00 90.00 90.00
With the nearest neighbours (Å) after each atom.
Atoms (fractional coordinates):
Zr 0.0000 0.0000 0.0000  4 Cu 2.80, 4 Be 2.80
Zr 0.0000 0.5000 0.5000  4 Cu 2.80, 4 Be 2.80
Zr 0.5000 0.0000 0.5000  4 Cu 2.80, 4 Be 2.80
Zr 0.5000 0.5000 0.0000  4 Cu 2.80, 4 Be 2.80
Be 0.2500 0.2500 0.7500  4 Zr 2.80, 4 Sb 2.80
Be 0.2500 0.7500 0.2500  4 Zr 2.80, 4 Sb 2.80
Be 0.7500 0.2500 0.2500  4 Zr 2.80, 4 Sb 2.80
Be 0.7500 0.7500 0.7500  4 Zr 2.80, 4 Sb 2.80
Cu 0.2500 0.2500 0.2500  4 Zr 2.80, 4 Sb 2.80
Cu 0.2500 0.7500 0.7500  4 Zr 2.80, 4 Sb 2.80
Cu 0.7500 0.2500 0.7500  4 Zr 2.80, 4 Sb 2.80
Cu 0.7500 0.7500 0.2500  4 Zr 2.80, 4 Sb 2.80
Sb 0.0000 0.0000 0.5000  4 Be 2.80, 4 Cu 2.80
Sb 0.0000 0.5000 0.0000  4 Be 2.80, 4 Cu 2.80
Sb 0.5000 0.0000 0.0000  4 Be 2.80, 4 Cu 2.80
Sb 0.5000 0.5000 0.5000  4 Be 2.80, 4 Cu 2.80

## Properties
space-group type	No. 216
total energy	-76.36	eV per cell
energy above the lowest structure with this stoichiometry	0.000	eV per atom

6.
VASP calculation (PBE) on an optimized crystal structure of WSe2.

Lattice parameters (Å, degrees): 5.3603 5.3603 5.3603 60.00 60.00 60.00
With the nearest neighbours (Å) after each atom.
Atoms (fractional coordinates):
W 0.1250 0.1250 0.1250  12 Se 3.14, 4 W 3.28
W 0.8750 0.8750 0.8750  12 Se 3.14, 4 W 3.28
Se 0.0000 0.5000 0.5000  6 Se 2.68
Se 0.5000 0.0000 0.5000  6 Se 2.68
Se 0.5000 0.5000 0.0000  6 Se 2.68
Se 0.5000 0.5000 0.5000  6 Se 2.68

## Properties
space-group type	No. 227
total energy	-29.61	eV per cell

7.
VASP calculation (PBE) on an optimized crystal structure of LiPmZn.

Lattice parameters (Å, degrees): 6.8008 6.8008 6.8008 90.00 90.00 90.00
With the nearest neighbours (Å) after each atom.
Atoms (fractional coordinates):
Li 0.0000 0.0000 0.0000  4 Pm 2.94
Li 0.0000 0.5000 0.5000  4 Pm 2.94
Li 0.5000 0.0000 0.5000  4 Pm 2.94
Li 0.5000 0.5000 0.0000  4 Pm 2.94
Pm 0.2500 0.2500 0.2500  4 Zn 2.94, 4 Li 2.94
Pm 0.2500 0.7500 0.7500  4 Li 2.94, 4 Zn 2.94
Pm 0.7500 0.2500 0.7500  4 Li 2.94, 4 Zn 2.94
Pm 0.7500 0.7500 0.2500  4 Li 2.94, 4 Zn 2.94
Zn 0.0000 0.0000 0.5000  4 Pm 2.94
Zn 0.0000 0.5000 0.0000  4 Pm 2.94
Zn 0.5000 0.0000 0.0000  4 Pm 2.94
Zn 0.5000 0.5000 0.5000  4 Pm 2.94

## Properties
space-group type	No. 216
total energy	-26.96	eV per cell
energy above the lowest structure with this stoichiometry	0.338	eV per atom

8.
VASP calculation (PBE) on an optimized crystal structure of Mg2CoSn.

Lattice parameters (Å, degrees): 6.4849 6.4849 6.4849 90.00 90.00 90.00
With the nearest neighbours (Å) after each atom.
Atoms (fractional coordinates):
Mg 0.0000 0.0000 0.0000  4 Co 2.81, 4 Mg 2.81
Mg 0.0000 0.5000 0.5000  4 Co 2.81, 4 Mg 2.81
Mg 0.2500 0.2500 0.2500  4 Sn 2.81, 4 Mg 2.81
Mg 0.2500 0.7500 0.7500  4 Sn 2.81, 4 Mg 2.81
Mg 0.5000 0.0000 0.5000  4 Co 2.81, 4 Mg 2.81
Mg 0.5000 0.5000 0.0000  4 Co 2.81, 4 Mg 2.81
Mg 0.7500 0.2500 0.7500  4 Sn 2.81, 4 Mg 2.81
Mg 0.7500 0.7500 0.2500  4 Sn 2.81, 4 Mg 2.81
Co 0.2500 0.2500 0.7500  4 Sn 2.81, 4 Mg 2.81
Co 0.2500 0.7500 0.2500  4 Sn 2.81, 4 Mg 2.81
Co 0.7500 0.2500 0.2500  4 Sn 2.81, 4 Mg 2.81
Co 0.7500 0.7500 0.7500  4 Sn 2.81, 4 Mg 2.81
Sn 0.0000 0.0000 0.5000  4 Co 2.81, 4 Mg 2.81
Sn 0.0000 0.5000 0.0000  4 Co 2.81, 4 Mg 2.81
Sn 0.5000 0.0000 0.0000  4 Co 2.81, 4 Mg 2.81
Sn 0.5000 0.5000 0.5000  4 Co 2.81, 4 Mg 2.81

## Properties
space-group type	No. 216
total energy	-56.12	eV per cell

Which of these has the highest total energy? SrZn4C